Entry 1:
EuDyTi2O7 | PBEsol | optimized geometry

a b c (Å): 7.128 7.154 7.154
angles (deg): 60.18 60.12 60.12
Positions (direct):
O: 0.171 0.171 0.076
O: 0.829 0.829 0.924
Dy: 0.000 0.000 0.000
Eu: 0.000 0.000 0.500
Dy: 0.000 0.500 0.500
O: 0.422 0.828 0.328
Ti: 0.500 0.000 0.000
Ti: 0.000 0.500 0.000
Ti: 0.500 0.500 0.000
O: 0.582 0.576 0.671
O: 0.582 0.171 0.076
O: 0.578 0.172 0.672
Ti: 0.500 0.500 0.500
O: 0.829 0.421 0.921
O: 0.829 0.424 0.329
O: 0.418 0.424 0.329
O: 0.171 0.579 0.079
O: 0.880 0.870 0.370
Eu: 0.500 0.000 0.500
O: 0.418 0.829 0.924
O: 0.120 0.130 0.630
O: 0.171 0.576 0.671

E (eV per cell): -208.6
Space-group type: Imma



Entry 2:
Xe | PBEsol | optimized geometry

a b c (Å): 4.406 4.406 11.767
angles (deg): 79.21 79.21 60.00
Positions (direct):
Xe: 0.000 0.000 0.000
Xe: 0.222 0.222 0.333
Xe: 0.778 0.778 0.667

ΔE to the lowest computed polymorph (meV per atom): 0
ΔE_f (meV per atom): 0
Space-group type: R-3m



Entry 3:
SrTl2Cl | PBEsol | optimized geometry

a b c (Å): 5.073 5.565 5.073
angles (deg): 62.89 90.00 117.11
Positions (direct):
Cl: 0.500 0.000 0.500
Tl: 0.250 0.500 0.250
Sr: 0.750 0.500 0.750
Tl: 0.000 0.000 0.000

ΔE to the lowest computed polymorph (meV per atom): 180
Space-group type: I-4m2



Entry 4:
AlAs3 | PBEsol | optimized geometry

a b c (Å): 3.004 3.004 9.435
angles (deg): 80.84 80.84 60.00
Positions (direct):
As: 0.258 0.258 0.225
As: 0.500 0.500 0.500
Al: 0.000 0.000 0.000
As: 0.742 0.742 0.775

ΔE to the lowest computed polymorph (meV per atom): 172
ΔE_f (meV per atom): 280
Space-group type: R-3m